Density functional theory data (PBE) for a relaxed structure of Sr2Ag2Rh.

Unit cell a=9.5863 b=9.5863 c=9.5863 alpha=157.07 beta=157.07 gamma=32.65
Atoms (fractional coordinates):
Sr1 0.0952 0.0952 0.0000
Sr2 0.9048 0.9048 0.0000
Ag1 0.2500 0.7500 0.5000
Ag2 0.7500 0.2500 0.5000
Rh1 0.5000 0.5000 0.0000

Output
V   26.718 A^3/atom
Formation enthalpy at 0 K   -0.086 eV/atom
Final energy   -3.3691 eV per atom
Distance to the lowest polymorph of the same formula   132 meV/atom
Total magnetic moment   0.000 μB/atom


Density functional theory data (PBE) for a relaxed structure of SrAgRh2.

Unit cell a=3.0076 b=4.4319 c=6.0267 alpha=90.00 beta=101.62 gamma=90.00
Atoms (fractional coordinates):
Sr1 0.0000 0.0000 0.0000
Ag1 0.6005 0.5000 0.2613
Rh1 0.2548 0.5000 0.6609
Rh2 0.6763 0.0000 0.5374

Output
V   19.671 A^3/atom
Formation enthalpy at 0 K   0.173 eV/atom
Final energy   -4.6363 eV per atom
Total magnetic moment   0.000 μB/atom


Density functional theory data (PBE) for a relaxed structure of Sr5Ag2Rh2.

Unit cell a=9.2072 b=9.2072 c=8.1571 alpha=90.00 beta=90.00 gamma=53.09
Atoms (fractional coordinates):
Sr1 0.0000 0.0000 0.0000
Sr2 0.0466 0.7002 0.6701
Sr3 0.2002 0.5466 0.1701
Sr4 0.2998 0.9534 0.6701
Sr5 0.4534 0.7998 0.1701
Sr6 0.5000 0.5000 0.5000
Sr7 0.5466 0.2002 0.8299
Sr8 0.7002 0.0466 0.3299
Sr9 0.7998 0.4534 0.8299
Sr10 0.9534 0.2998 0.3299
Ag1 0.2106 0.2106 0.0000
Ag2 0.2894 0.2894 0.5000
Ag3 0.7106 0.7106 0.5000
Ag4 0.7894 0.7894 0.0000
Rh1 0.1171 0.8829 0.3855
Rh2 0.3829 0.6171 0.8855
Rh3 0.6171 0.3829 0.1145
Rh4 0.8829 0.1171 0.6145

Output
V   30.718 A^3/atom
Formation enthalpy at 0 K   -0.229 eV/atom
Final energy   -3.4311 eV per atom
Total magnetic moment   0.000 μB/atom


Density functional theory data (PBE) for a relaxed structure of Sr2Ag2Rh.

Unit cell a=6.0405 b=6.0405 c=11.8725 alpha=110.70 beta=110.70 gamma=42.04
Atoms (fractional coordinates):
Sr1 0.0052 0.0052 0.1615
Sr2 0.1931 0.1931 0.6280
Sr3 0.8069 0.8069 0.3720
Sr4 0.9948 0.9948 0.8385
Ag1 0.3102 0.3102 0.9507
Ag2 0.4689 0.4689 0.6062
Ag3 0.5311 0.5311 0.3938
Ag4 0.6898 0.6898 0.0493
Rh1 0.3120 0.3120 0.1910
Rh2 0.6880 0.6880 0.8090

Output
V   26.849 A^3/atom
Formation enthalpy at 0 K   -0.218 eV/atom
Final energy   -3.5014 eV per atom
Distance to the lowest polymorph of the same formula   0 meV/atom
Total magnetic moment   0.000 μB/atom


Density functional theory data (PBE) for a relaxed structure of Sr3Ag2Rh.

Unit cell a=12.8052 b=4.5707 c=12.5504 alpha=90.00 beta=90.00 gamma=90.00
Atoms (fractional coordinates):
Sr1 0.0501 0.2500 0.1293
Sr2 0.1125 0.7500 0.5499
Sr3 0.2310 0.2500 0.7944
Sr4 0.2690 0.7500 0.2944
Sr5 0.3875 0.2500 0.0499
Sr6 0.4499 0.7500 0.6293
Sr7 0.5501 0.2500 0.3707
Sr8 0.6125 0.7500 0.9501
Sr9 0.7310 0.2500 0.7056
Sr10 0.7690 0.7500 0.2056
Sr11 0.8875 0.2500 0.4501
Sr12 0.9499 0.7500 0.8707
Ag1 0.0132 0.7500 0.3096
Ag2 0.1974 0.7500 0.9954
Ag3 0.3026 0.2500 0.4954
Ag4 0.4868 0.2500 0.8096
Ag5 0.5132 0.7500 0.1904
Ag6 0.6974 0.7500 0.5046
Ag7 0.8026 0.2500 0.0046
Ag8 0.9868 0.2500 0.6904
Rh1 0.1250 0.2500 0.3707
Rh2 0.3750 0.7500 0.8707
Rh3 0.6250 0.2500 0.1293
Rh4 0.8750 0.7500 0.6293

Output
V   30.607 A^3/atom
Formation enthalpy at 0 K   -0.275 eV/atom
Final energy   -3.2918 eV per atom
Total magnetic moment   0.000 μB/atom


Density functional theory data (PBE) for a relaxed structure of SrAgRh3.

Unit cell a=4.9178 b=4.9178 c=4.9178 alpha=90.00 beta=90.00 gamma=90.00
Atoms (fractional coordinates):
Sr1 0.0000 0.0000 0.0000
Ag1 0.5000 0.5000 0.5000
Rh1 0.0000 0.5000 0.5000
Rh2 0.5000 0.0000 0.5000
Rh3 0.5000 0.5000 0.0000

Output
V   23.787 A^3/atom
Formation enthalpy at 0 K   0.947 eV/atom
Final energy   -4.3703 eV per atom
Distance to the lowest polymorph of the same formula   0 meV/atom
Total magnetic moment   0.290 μB/atom


Density functional theory data (PBE) for a relaxed structure of SrAgRh2.

Unit cell a=3.2323 b=4.7633 c=4.9362 alpha=90.00 beta=90.00 gamma=90.00
Atoms (fractional coordinates):
Sr1 0.0000 0.0000 0.0000
Ag1 0.5000 0.0000 0.5000
Rh1 0.0000 0.5000 0.5000
Rh2 0.5000 0.5000 0.0000

Output
V   19.000 A^3/atom
Formation enthalpy at 0 K   0.228 eV/atom
Final energy   -4.5805 eV per atom
Total magnetic moment   0.000 μB/atom


Density functional theory data (PBE) for a relaxed structure of SrAgRh2.

Unit cell a=5.0912 b=5.0912 c=3.0571 alpha=90.00 beta=90.00 gamma=107.82
Atoms (fractional coordinates):
Sr1 0.0000 0.0000 0.0000
Ag1 0.5000 0.5000 0.0000
Rh1 0.0000 0.5000 0.5000
Rh2 0.5000 0.0000 0.5000

Output
V   18.861 A^3/atom
Formation enthalpy at 0 K   0.243 eV/atom
Final energy   -4.5658 eV per atom
Total magnetic moment   0.191 μB/atom